No. 1
# PBE SrGdPd2, relaxed
# VASP energy = -4.874 eV per atom
data_SrGdPd2
_symmetry_space_group_name_H-M 'P 1'
_symmetry_Int_Tables_number 1
_symmetry_space_group_name_Hall 'P 1'
_cell_length_a 4.5743
_cell_length_b 5.8587
_cell_length_c 5.8587
_cell_angle_alpha 38.89
_cell_angle_beta 90.00
_cell_angle_gamma 90.00
loop_
_atom_site_label
_atom_site_type_symbol
_atom_site_fract_x
_atom_site_fract_y
_atom_site_fract_z
_atom_site_occupancy
Gd1 Gd 0.5000 0.6313 0.6313 1
Pd1 Pd 0.0000 0.0856 0.0856 1
Pd2 Pd 0.5000 0.9255 0.9255 1
Sr1 Sr 0.0000 0.3576 0.3576 1

=====

No. 2
# PBE SrGdPd, relaxed
# VASP energy = -4.165 eV per atom
data_SrGdPd
_symmetry_space_group_name_H-M 'P 1'
_symmetry_Int_Tables_number 1
_symmetry_space_group_name_Hall 'P 1'
_cell_length_a 5.0674
_cell_length_b 5.0674
_cell_length_c 5.0674
_cell_angle_alpha 60.00
_cell_angle_beta 60.00
_cell_angle_gamma 60.00
loop_
_atom_site_label
_atom_site_type_symbol
_atom_site_fract_x
_atom_site_fract_y
_atom_site_fract_z
_atom_site_occupancy
Gd1 Gd 0.2500 0.2500 0.2500 1
Pd1 Pd 0.0000 0.0000 0.0000 1
Sr1 Sr 0.7500 0.7500 0.7500 1

=====

No. 3
# PBE TbGdPd2, relaxed
# Formation energy from the elements = -910 meV/atom
data_TbGdPd2
_symmetry_space_group_name_H-M 'P 1'
_symmetry_Int_Tables_number 1
_symmetry_space_group_name_Hall 'P 1'
_cell_length_a 4.5776
_cell_length_b 5.6177
_cell_length_c 5.6177
_cell_angle_alpha 38.92
_cell_angle_beta 90.00
_cell_angle_gamma 90.00
loop_
_atom_site_label
_atom_site_type_symbol
_atom_site_fract_x
_atom_site_fract_y
_atom_site_fract_z
_atom_site_occupancy
Gd1 Gd 0.0000 0.6376 0.6376 1
Pd1 Pd 0.5000 0.0866 0.0866 1
Pd2 Pd 0.0000 0.9131 0.9131 1
Tb1 Tb 0.5000 0.3627 0.3627 1

=====

No. 4
# PBE TbGdPd2, relaxed
# Formation energy from the elements = -910 meV/atom
data_TbGdPd2
_symmetry_space_group_name_H-M 'P 1'
_symmetry_Int_Tables_number 1
_symmetry_space_group_name_Hall 'P 1'
_cell_length_a 4.5926
_cell_length_b 5.6021
_cell_length_c 7.0260
_cell_angle_alpha 90.00
_cell_angle_beta 90.00
_cell_angle_gamma 90.00
loop_
_atom_site_label
_atom_site_type_symbol
_atom_site_fract_x
_atom_site_fract_y
_atom_site_fract_z
_atom_site_occupancy
Gd1 Gd 0.0000 0.6076 0.1823 1
Gd2 Gd 0.0000 0.3924 0.6823 1
Pd1 Pd 0.0000 0.0968 0.0430 1
Pd2 Pd 0.5000 0.5979 0.4572 1
Pd3 Pd 0.0000 0.9032 0.5430 1
Pd4 Pd 0.5000 0.4021 0.9572 1
Tb1 Tb 0.5000 0.1074 0.3175 1
Tb2 Tb 0.5000 0.8926 0.8175 1

=====

No. 5
# PBE TbGdTlPd2, relaxed
# VASP energy = -5.165 eV per atom
data_TbGdTlPd2
_symmetry_space_group_name_H-M 'P 1'
_symmetry_Int_Tables_number 1
_symmetry_space_group_name_Hall 'P 1'
_cell_length_a 3.6875
_cell_length_b 7.8437
_cell_length_c 7.8437
_cell_angle_alpha 30.63
_cell_angle_beta 90.00
_cell_angle_gamma 90.00
loop_
_atom_site_label
_atom_site_type_symbol
_atom_site_fract_x
_atom_site_fract_y
_atom_site_fract_z
_atom_site_occupancy
Gd1 Gd 0.0000 0.3662 0.3662 1
Pd1 Pd 0.5000 0.1905 0.1905 1
Pd2 Pd 0.5000 0.8089 0.8089 1
Tb1 Tb 0.0000 0.6342 0.6342 1
Tl1 Tl 0.5000 0.0002 0.0002 1

=====

No. 6
# PBE GdTlTe3Pd, relaxed
# Polymorph energy (0 for the lowest one) = 17 meV/atom
data_GdTlTe3Pd
_symmetry_space_group_name_H-M 'P 1'
_symmetry_Int_Tables_number 1
_symmetry_space_group_name_Hall 'P 1'
_cell_length_a 8.9822
_cell_length_b 4.2240
_cell_length_c 10.9349
_cell_angle_alpha 90.00
_cell_angle_beta 111.99
_cell_angle_gamma 90.00
loop_
_atom_site_label
_atom_site_type_symbol
_atom_site_fract_x
_atom_site_fract_y
_atom_site_fract_z
_atom_site_occupancy
Gd1 Gd 0.8053 0.2500 0.3496 1
Gd2 Gd 0.1947 0.7500 0.6504 1
Pd1 Pd 0.5933 0.7500 0.1128 1
Pd2 Pd 0.4067 0.2500 0.8872 1
Te1 Te 0.7201 0.2500 0.0379 1
Te2 Te 0.5514 0.7500 0.3437 1
Te3 Te 0.0600 0.7500 0.3497 1
Te4 Te 0.9400 0.2500 0.6503 1
Te5 Te 0.4486 0.2500 0.6563 1
Te6 Te 0.2799 0.7500 0.9621 1
Tl1 Tl 0.2386 0.2500 0.2028 1
Tl2 Tl 0.7614 0.7500 0.7972 1

=====

No. 7
# PBE GdTlTe3Pd, relaxed
# Polymorph energy (0 for the lowest one) = 0 meV/atom
data_GdTlTe3Pd
_symmetry_space_group_name_H-M 'P 1'
_symmetry_Int_Tables_number 1
_symmetry_space_group_name_Hall 'P 1'
_cell_length_a 8.5300
_cell_length_b 8.5300
_cell_length_c 10.7227
_cell_angle_alpha 90.00
_cell_angle_beta 90.00
_cell_angle_gamma 151.43
loop_
_atom_site_label
_atom_site_type_symbol
_atom_site_fract_x
_atom_site_fract_y
_atom_site_fract_z
_atom_site_occupancy
Gd1 Gd 0.0000 0.0000 0.0000 1
Gd2 Gd 0.0000 0.0000 0.5000 1
Pd1 Pd 0.4845 0.5155 0.2500 1
Pd2 Pd 0.5155 0.4845 0.7500 1
Te1 Te 0.3696 0.6304 0.0731 1
Te2 Te 0.0890 0.9110 0.2500 1
Te3 Te 0.3696 0.6304 0.4269 1
Te4 Te 0.6304 0.3696 0.5731 1
Te5 Te 0.9110 0.0890 0.7500 1
Te6 Te 0.6304 0.3696 0.9269 1
Tl1 Tl 0.7564 0.2436 0.2500 1
Tl2 Tl 0.2436 0.7564 0.7500 1

=====

No. 8
# PBE GdTlPd, relaxed
# Polymorph energy (0 for the lowest one) = 69 meV/atom
data_GdTlPd
_symmetry_space_group_name_H-M 'P 1'
_symmetry_Int_Tables_number 1
_symmetry_space_group_name_Hall 'P 1'
_cell_length_a 4.8159
_cell_length_b 4.8159
_cell_length_c 6.8183
_cell_angle_alpha 90.00
_cell_angle_beta 90.00
_cell_angle_gamma 120.00
loop_
_atom_site_label
_atom_site_type_symbol
_atom_site_fract_x
_atom_site_fract_y
_atom_site_fract_z
_atom_site_occupancy
Gd1 Gd 0.0000 0.0000 0.0000 1
Gd2 Gd 0.0000 0.0000 0.5000 1
Pd1 Pd 0.3333 0.6667 0.2500 1
Pd2 Pd 0.6667 0.3333 0.7500 1
Tl1 Tl 0.6667 0.3333 0.2500 1
Tl2 Tl 0.3333 0.6667 0.7500 1